VASP calculation (GGA-PBE) on a relaxed CsK4Hg4 crystal.

Calculated values
**Distance to the lowest polymorph of the same formula**: 0.007 eV per atom
**Formation energy**: -175 meV per atom
**Fermi-level density of states**: 5.5 states/eV/f.u.

Structure (CIF):
```
data_CsK4Hg4
_cell_length_a 11.427
_cell_length_b 11.427
_cell_length_c 7.002
_cell_angle_alpha 90.00
_cell_angle_beta 90.00
_cell_angle_gamma 90.00
_symmetry_space_group_name_H-M 'P 42/n'
_symmetry_Int_Tables_number 86
loop_
_symmetry_equiv_pos_as_xyz
'x,y,z'
'-x,-y,-z'
'-y,x+1/2,z+1/2'
'y,-x+1/2,-z+1/2'
'-x+1/2,-y+1/2,z'
'x+1/2,y+1/2,-z'
'y+1/2,-x,z+1/2'
'-y+1/2,x,-z+1/2'
loop_
_atom_site_label
_atom_site_fract_x
_atom_site_fract_y
_atom_site_fract_z
Cs1 0.250 0.250 0.250
K1 0.089 0.650 0.131
Hg1 0.040 0.598 0.628
```


VASP calculation (GGA-PBE) on a relaxed PmGdLuAg crystal.

Calculated values
**Formation energy**: 87 meV per atom
**Fermi-level density of states**: 4.8 states/eV/f.u.

Structure (CIF):
```
data_PmGdLuAg
_cell_length_a 7.567
_cell_length_b 7.567
_cell_length_c 7.567
_cell_angle_alpha 90.00
_cell_angle_beta 90.00
_cell_angle_gamma 90.00
_symmetry_space_group_name_H-M 'F -4 3 m'
_symmetry_Int_Tables_number 216
_symmetry_space_group_name_Hall 'F -4 2 3'
loop_
_atom_site_label
_atom_site_fract_x
_atom_site_fract_y
_atom_site_fract_z
Pm1 0.000 0.000 0.000
Gd1 0.250 0.250 0.750
Lu1 0.250 0.250 0.250
Ag1 0.000 0.000 0.500
```


VASP calculation (GGA-PBE) on a relaxed Na2CdHgI6 crystal.

Calculated values
**Formation energy without anion corrections**: -0.73 eV per atom
**Fermi-level density of states**: 0.0 states/eV/f.u.

Structure (CIF):
```
data_Na2CdHgI6
_cell_length_a 7.936
_cell_length_b 7.936
_cell_length_c 9.087
_cell_angle_alpha 64.12
_cell_angle_beta 64.11
_cell_angle_gamma 60.01
_symmetry_space_group_name_H-M 'P 1'
_symmetry_Int_Tables_number 1
loop_
_symmetry_equiv_pos_as_xyz
'x,y,z'
loop_
_atom_site_label
_atom_site_fract_x
_atom_site_fract_y
_atom_site_fract_z
Na1 0.000 0.000 0.000
Na2 0.497 0.496 0.511
Cd1 0.748 0.748 0.756
Hg1 0.247 0.247 0.257
I1 0.095 0.402 0.757
I2 0.245 0.899 0.258
I3 0.402 0.747 0.756
I4 0.597 0.246 0.257
I5 0.746 0.094 0.757
I6 0.899 0.597 0.258
```


VASP calculation (GGA-PBE) on a relaxed ZrHgS2 crystal.

Calculated values
**Formation energy without anion corrections**: -0.86 eV per atom
**Fermi-level density of states**: 0.0 states/eV/f.u.

Structure (CIF):
```
data_ZrHgS2
_cell_length_a 6.239
_cell_length_b 12.483
_cell_length_c 6.765
_cell_angle_alpha 90.00
_cell_angle_beta 112.40
_cell_angle_gamma 90.00
_symmetry_space_group_name_H-M 'C 1 2/c 1'
_symmetry_Int_Tables_number 15
loop_
_symmetry_equiv_pos_as_xyz
'x,y,z'
'-x,-y,-z'
'-x,y,-z+1/2'
'x,-y,z+1/2'
'x+1/2,y+1/2,z'
'-x+1/2,-y+1/2,-z'
'-x+1/2,y+1/2,-z+1/2'
'x+1/2,-y+1/2,z+1/2'
loop_
_atom_site_label
_atom_site_fract_x
_atom_site_fract_y
_atom_site_fract_z
Zr1 0.000 0.021 0.250
Hg1 0.000 0.343 0.750
S1 0.192 0.108 0.603
```